Y5Ho4Sc, optimized geometry, DFT PBE; magnetization = 0.0 μB/cell; V = 32.1 Å³/atom; formation energy = 0.250 eV per atom; VASP energy = -5.446 eV/atom; symmetry = I4mm; distance to the lowest polymorph of the same formula = 2.61 kcal/mol of atoms
1.0
-5.2781 5.2781 2.8806
5.2781 -5.2781 2.8806
5.2781 5.2781 -2.8806
Y Ho Sc
5 4 1
Direct
0.0000 0.0000 0.0000
0.5182 0.5182 0.6261
0.5182 0.8922 0.0000
0.8922 0.5182 0.0000
0.8922 0.8922 0.3739
0.2185 0.5430 0.3245
0.2185 0.8939 0.6755
0.5430 0.2185 0.3245
0.8939 0.2185 0.6755
0.4657 0.4657 0.0000

---

GdOF, optimized geometry, DFT PBE; magnetization = 28.0 μB/cell; V = 15.5 Å³/atom; VASP energy = -10.724 eV/atom; symmetry = Fddd; formation energy without anion corrections = -3754 meV/atom
1.0
0.0000 4.4897 5.4927
3.7773 0.0000 5.4927
3.7773 4.4897 0.0000
Gd O F
4 4 4
Direct
0.0750 0.6750 0.0750
0.3250 0.9250 0.3250
0.6750 0.0750 0.6750
0.9250 0.3250 0.9250
0.0076 0.0076 0.7424
0.2576 0.2576 0.9924
0.7424 0.7424 0.0076
0.9924 0.9924 0.2576
0.0000 0.5000 0.5000
0.5000 0.0000 0.5000
0.5000 0.5000 0.0000
0.5000 0.5000 0.5000

---

Rb2TeP, optimized geometry, DFT PBE; magnetization = 3.0 μB/cell; V = 40.2 Å³/atom; VASP energy = -2.671 eV/atom; symmetry = Fm-3m; formation energy without anion corrections = -50 meV/atom; distance to the lowest polymorph of the same formula = 4.45 kcal/mol of atoms
1.0
0.0000 4.3174 4.3174
4.3174 0.0000 4.3174
4.3174 4.3174 0.0000
Rb Te P
2 1 1
Direct
0.2500 0.2500 0.2500
0.7500 0.7500 0.7500
0.0000 0.0000 0.0000
0.5000 0.5000 0.5000

---

SrMg2InNi, optimized geometry, DFT PBE; magnetization = 0.0 μB/cell; V = 25.0 Å³/atom; formation energy = -0.180 eV per atom; VASP energy = -2.858 eV/atom; symmetry = P4/mmm
1.0
4.9877 0.0000 0.0000
0.0000 4.9877 0.0000
0.0000 0.0000 5.0160
Sr Mg In Ni
1 2 1 1
Direct
0.0000 0.0000 0.0000
0.0000 0.5000 0.5000
0.5000 0.0000 0.5000
0.5000 0.5000 0.0000
0.5000 0.5000 0.5000

---

SiMo2N, optimized geometry, DFT PBE; magnetization = 0.6 μB/cell; V = 12.6 Å³/atom; VASP energy = -8.278 eV/atom; symmetry = Fm-3m; formation energy without anion corrections = 575 meV/atom; distance to the lowest polymorph of the same formula = 16.80 kcal/mol of atoms
1.0
0.0000 2.9323 2.9323
2.9323 0.0000 2.9323
2.9323 2.9323 0.0000
Si Mo N
1 2 1
Direct
0.0000 0.0000 0.0000
0.2500 0.2500 0.2500
0.7500 0.7500 0.7500
0.5000 0.5000 0.5000

---

K2TaP, optimized geometry, DFT PBE; magnetization = 0.0 μB/cell; V = 24.2 Å³/atom; formation energy = 0.857 eV per atom; VASP energy = -4.008 eV/atom; symmetry = Pmmm
1.0
3.1030 0.0000 0.0000
0.0000 5.4060 0.0000
0.0000 0.0000 5.7661
K Ta P
2 1 1
Direct
0.0000 0.2460 0.0000
0.0000 0.7540 0.0000
0.5000 0.5000 0.5000
0.5000 0.0000 0.5000

---

KLiTlBrF, optimized geometry, DFT PBE; magnetization = 0.0 μB/cell; V = 26.0 Å³/atom; VASP energy = -3.278 eV/atom; symmetry = P1; formation energy without anion corrections = -1494 meV/atom; distance to the lowest polymorph of the same formula = 0.43 kcal/mol of atoms
1.0
3.6679 0.0000 0.0000
0.0001 4.0243 0.0000
1.8326 0.0208 8.8068
K Li Tl Br F
1 1 1 1 1
Direct
0.0000 0.0000 0.0000
0.3521 0.4983 0.3005
0.7447 0.9979 0.5147
0.5929 0.5009 0.8139
0.8924 0.4986 0.2197

---

TcAgSb2, optimized geometry, DFT PBE; magnetization = 0.0 μB/cell; V = 20.9 Å³/atom; VASP energy = -5.238 eV/atom; symmetry = R-3m; formation energy without anion corrections = 128 meV/atom; distance to the lowest polymorph of the same formula = 0.42 kcal/mol of atoms
1.0
1.6804 0.9702 8.5295
-1.6804 0.9702 8.5295
0.0000 -1.9404 8.5295
Tc Ag Sb
1 1 2
Direct
0.0000 0.0000 0.0000
0.5000 0.5000 0.5000
0.2585 0.2585 0.2585
0.7415 0.7415 0.7415

---

HgOs2Se, optimized geometry, DFT PBE; magnetization = 0.0 μB/cell; V = 19.0 Å³/atom; VASP energy = -6.142 eV/atom; symmetry = Pm; formation energy without anion corrections = 419 meV/atom
1.0
2.8522 0.0000 0.0000
0.0000 2.8763 0.0000
-0.0279 0.0000 9.2677
Hg Os Se
1 2 1
Direct
0.0000 0.0000 0.0000
0.4965 0.5000 0.7570
0.9946 0.0000 0.5827
0.9908 0.5000 0.3462

---

CaYGaAg, optimized geometry, DFT PBE; magnetization = 0.0 μB/cell; V = 24.2 Å³/atom; formation energy = -0.429 eV per atom; VASP energy = -4.015 eV/atom; symmetry = F-43m
1.0
0.0000 3.6426 3.6426
3.6426 0.0000 3.6426
3.6426 3.6426 0.0000
Ca Y Ga Ag
1 1 1 1
Direct
0.0000 0.0000 0.0000
0.5000 0.5000 0.5000
0.7500 0.7500 0.7500
0.2500 0.2500 0.2500

---

TcHg2Os, optimized geometry, DFT PBE; magnetization = 3.3 μB/cell; V = 17.8 Å³/atom; formation energy = 0.985 eV per atom; VASP energy = -4.565 eV/atom; symmetry = I4/mmm; distance to the lowest polymorph of the same formula = 15.25 kcal/mol of atoms
1.0
-2.0446 2.0446 4.2612
2.0446 -2.0446 4.2612
2.0446 2.0446 -4.2612
Tc Hg Os
1 2 1
Direct
0.0000 0.0000 0.0000
0.2500 0.7500 0.5000
0.7500 0.2500 0.5000
0.5000 0.5000 0.0000

---

La4Ho11Er9, optimized geometry, DFT PBE; magnetization = 0.0 μB/cell; V = 32.1 Å³/atom; formation energy = 0.077 eV per atom; VASP energy = -4.553 eV/atom; symmetry = Cmmm
1.0
8.3434 -12.4987 0.0000
8.3434 12.4987 0.0000
0.0000 0.0000 3.6896
La Ho Er
4 11 9
Direct
0.0544 0.2535 0.0000
0.2535 0.0544 0.0000
0.7465 0.9456 0.0000
0.9456 0.7465 0.0000
0.0933 0.4562 0.5000
0.1380 0.8620 0.5000
0.2184 0.2184 0.5000
0.3408 0.6592 0.5000
0.4562 0.0933 0.5000
0.5000 0.5000 0.5000
0.5438 0.9067 0.5000
0.6592 0.3408 0.5000
0.7816 0.7816 0.5000
0.8620 0.1380 0.5000
0.9067 0.5438 0.5000
0.0000 0.0000 0.0000
0.1356 0.6617 0.0000
0.2898 0.4358 0.0000
0.3383 0.8644 0.0000
0.4358 0.2898 0.0000
0.5642 0.7102 0.0000
0.6617 0.1356 0.0000
0.7102 0.5642 0.0000
0.8644 0.3383 0.0000

---

TbDy5Ho2Tm, optimized geometry, DFT PBE; magnetization = 0.0 μB/cell; V = 31.9 Å³/atom; formation energy = 0.156 eV per atom; VASP energy = -4.429 eV/atom; symmetry = Cmc2_1
1.0
2.7781 -9.8437 0.0000
2.7781 9.8437 0.0000
0.0000 0.0000 10.5036
Tb Dy Ho Tm
2 10 4 2
Direct
0.0866 0.9134 0.5000
0.9134 0.0866 0.0000
0.0202 0.9798 0.7824
0.1128 0.8872 0.0654
0.2006 0.7994 0.7513
0.2188 0.7812 0.3544
0.4817 0.5183 0.0656
0.5183 0.4817 0.5656
0.7812 0.2188 0.8544
0.7994 0.2006 0.2513
0.8872 0.1128 0.5654
0.9798 0.0202 0.2824
0.3865 0.6135 0.3602
0.3893 0.6107 0.7801
0.6107 0.3893 0.2801
0.6135 0.3865 0.8602
0.3005 0.6995 0.0546
0.6995 0.3005 0.5546

---

CrHIr, optimized geometry, DFT PBE; magnetization = 0.0 μB/cell; V = 10.9 Å³/atom; VASP energy = -7.102 eV/atom; symmetry = Amm2; distance to the lowest polymorph of the same formula = 5.58 kcal/mol of atoms
1.0
2.6536 0.0000 0.0000
0.0000 1.9501 3.1508
0.0000 -1.9501 3.1508
Cr H Ir
1 1 1
Direct
0.0000 0.0000 0.0000
0.5000 0.2085 0.2085
0.5000 0.6583 0.6583

---

Na2SrIn, optimized geometry, DFT PBE; magnetization = 0.0 μB/cell; V = 35.3 Å³/atom; formation energy = -0.026 eV per atom; VASP energy = -1.790 eV/atom; symmetry = P4/mmm
1.0
4.3414 0.0000 0.0000
0.0000 4.3414 0.0000
0.0000 0.0000 7.4969
Na Sr In
2 1 1
Direct
0.0000 0.0000 0.2056
0.0000 0.0000 0.7944
0.5000 0.5000 0.5000
0.5000 0.5000 0.0000

---

AcPm6Dy3Er2, optimized geometry, DFT PBE; magnetization = 0.0 μB/cell; V = 33.7 Å³/atom; formation energy = 0.028 eV per atom; VASP energy = -4.601 eV/atom; symmetry = C2/m
1.0
3.1429 -5.4431 0.0000
3.1429 5.4431 0.0000
-2.1000 0.0000 11.8246
Ac Pm Dy Er
1 6 3 2
Direct
0.0000 0.0000 0.0000
0.0845 0.4212 0.2540
0.2519 0.2519 0.7458
0.4212 0.0845 0.2540
0.5788 0.9155 0.7460
0.7481 0.7481 0.2542
0.9155 0.5788 0.7460
0.1672 0.8328 0.5000
0.5000 0.5000 0.5000
0.8328 0.1672 0.5000
0.3334 0.6666 0.0000
0.6666 0.3334 0.0000

---

AcTb2NdSm6, optimized geometry, DFT PBE; magnetization = 0.0 μB/cell; V = 35.2 Å³/atom; formation energy = 0.123 eV per atom; VASP energy = -4.522 eV/atom; symmetry = C2/c
1.0
4.6682 -7.7465 0.0000
4.6682 7.7465 0.0000
-1.0297 0.0000 9.7241
Ac Tb Nd Sm
2 4 2 12
Direct
0.0290 0.9710 0.7500
0.9710 0.0290 0.2500
0.1981 0.3093 0.5469
0.3093 0.1981 0.0469
0.6907 0.8019 0.9531
0.8019 0.6907 0.4531
0.4092 0.5908 0.2500
0.5908 0.4092 0.7500
0.0186 0.5577 0.6803
0.1211 0.7490 0.0557
0.2510 0.8789 0.4443
0.2919 0.5081 0.8812
0.4423 0.9814 0.8197
0.4919 0.7081 0.6188
0.5081 0.2919 0.3812
0.5577 0.0186 0.1803
0.7081 0.4919 0.1188
0.7490 0.1211 0.5557
0.8789 0.2510 0.9443
0.9814 0.4423 0.3197

---

RuC, optimized geometry, DFT PBE; magnetization = 0.0 μB/cell; V = 15.8 Å³/atom; formation energy = 0.696 eV per atom; VASP energy = -8.554 eV/atom; symmetry = Fddd; distance to the lowest polymorph of the same formula = 7.61 kcal/mol of atoms
1.0
0.0000 4.3295 4.6806
3.1267 0.0000 4.6806
3.1267 4.3295 0.0000
Ru C
4 4
Direct
0.0175 0.0175 0.7325
0.2675 0.2675 0.9825
0.7325 0.7325 0.0175
0.9825 0.9825 0.2675
0.0533 0.6967 0.0533
0.3033 0.9467 0.3033
0.6967 0.0533 0.6967
0.9467 0.3033 0.9467

---

MgAsSe, optimized geometry, DFT PBE; magnetization = 0.0 μB/cell; V = 23.6 Å³/atom; VASP energy = -3.428 eV/atom; symmetry = I4mm; formation energy without anion corrections = -185 meV/atom; distance to the lowest polymorph of the same formula = 3.38 kcal/mol of atoms
1.0
-1.5087 1.5087 7.7910
1.5087 -1.5087 7.7910
1.5087 1.5087 -7.7910
Mg As Se
1 1 1
Direct
0.0000 0.0000 0.0000
0.3700 0.3700 0.0000
0.6159 0.6159 0.0000

---

Pm4Al5Ga2, optimized geometry, DFT PBE; magnetization = 0.0 μB/cell; V = 23.4 Å³/atom; formation energy = -0.391 eV per atom; VASP energy = -4.371 eV/atom; symmetry = P2/m
1.0
7.4232 0.0000 0.0000
0.0000 3.6457 0.0000
-0.6592 0.0000 9.4938
Pm Al Ga
4 5 2
Direct
0.1742 0.0000 0.3830
0.2735 0.0000 0.9377
0.7265 0.0000 0.0623
0.8258 0.0000 0.6170
0.1975 0.5000 0.6646
0.4384 0.5000 0.2091
0.5000 0.5000 0.5000
0.5616 0.5000 0.7909
0.8025 0.5000 0.3354
0.0589 0.5000 0.1346
0.9411 0.5000 0.8654

---

Rb2HfU3O12, optimized geometry, DFT PBE; magnetization = 0.0 μB/cell; V = 18.9 Å³/atom; VASP energy = -8.867 eV/atom; symmetry = R-3m; formation energy without anion corrections = -3019 meV/atom
1.0
3.9756 2.2953 6.2074
-3.9756 2.2953 6.2074
0.0000 -4.5906 6.2074
Rb Hf U O
2 1 3 12
Direct
0.1266 0.1266 0.1266
0.8734 0.8734 0.8734
0.5000 0.5000 0.5000
0.0000 0.5000 0.5000
0.5000 0.0000 0.5000
0.5000 0.5000 0.0000
0.1819 0.1819 0.5649
0.1819 0.5649 0.1819
0.1871 0.5622 0.5622
0.4351 0.8181 0.8181
0.4378 0.4378 0.8129
0.4378 0.8129 0.4378
0.5622 0.1871 0.5622
0.5622 0.5622 0.1871
0.5649 0.1819 0.1819
0.8129 0.4378 0.4378
0.8181 0.4351 0.8181
0.8181 0.8181 0.4351

---

YCd3Ga3, optimized geometry, DFT PBE; magnetization = 0.0 μB/cell; V = 28.4 Å³/atom; formation energy = 0.367 eV per atom; VASP energy = -2.246 eV/atom; symmetry = Pm-3n
1.0
7.3517 0.0000 0.0000
0.0000 7.3517 0.0000
0.0000 0.0000 7.3517
Y Cd Ga
2 6 6
Direct
0.0000 0.0000 0.0000
0.5000 0.5000 0.5000
0.0000 0.2500 0.5000
0.0000 0.7500 0.5000
0.2500 0.5000 0.0000
0.5000 0.0000 0.2500
0.5000 0.0000 0.7500
0.7500 0.5000 0.0000
0.0000 0.5000 0.2500
0.0000 0.5000 0.7500
0.2500 0.0000 0.5000
0.5000 0.2500 0.0000
0.5000 0.7500 0.0000
0.7500 0.0000 0.5000